{
  "formula": "RePt2Se",
  "functional": "meta-GGA SCAN",
  "state": "PBEsol geometry",
  "lattice": [[3.7872, 0.0000, 0.0000], [0.0000, 3.7872, 0.0000], [0.0000, 0.0000, 4.2627]],
  "species": ["Re", "Se", "Pt", "Pt"],
  "frac_coords": [[0.5000, 0.5000, 0.5000], [0.0000, 0.0000, 0.5000], [0.5000, 0.0000, 0.0000], [0.0000, 0.5000, 0.0000]],
  "space_group": "P4/mmm (123)",
  "dft_energy_ev_per_cell": -229.07
}

***

{
  "formula": "SiSb2Au",
  "functional": "meta-GGA SCAN",
  "state": "PBEsol geometry",
  "lattice": [[3.7725, 0.0000, 0.0000], [0.0000, 3.9328, 0.0000], [-1.8863, -1.9664, 6.0533]],
  "species": ["Au", "Sb", "Sb", "Si"],
  "frac_coords": [[0.8053, 0.3053, 0.6106], [0.2220, 0.7220, 0.4440], [0.0239, 0.0239, 0.0479], [0.4488, 0.4488, 0.8975]],
  "space_group": "Imm2 (44)",
  "dft_energy_ev_per_cell": -152.65
}

***

{
  "formula": "Tm5Mg",
  "functional": "meta-GGA SCAN",
  "state": "PBEsol geometry",
  "lattice": [[3.4433, 0.0000, -0.0001], [0.0000, 5.4240, 0.0000], [-1.7219, 0.0000, 8.9079]],
  "species": ["Tm", "Tm", "Tm", "Tm", "Tm", "Mg"],
  "frac_coords": [[0.0008, 0.0000, 0.0018], [0.5530, 0.5000, 0.1060], [0.6696, 0.0000, 0.3393], [0.8876, 0.5000, 0.7749], [0.3331, 0.0000, 0.6661], [0.2222, 0.5000, 0.4452]],
  "space_group": "Amm2 (38)",
  "relative_energy_mev_per_atom": 0
}

***

{
  "formula": "MnRe2Hg",
  "functional": "meta-GGA SCAN",
  "state": "PBEsol geometry",
  "lattice": [[-1.9261, 1.1550, 1.7315], [-2.0786, -1.1895, -1.5187], [0.2903, -6.1996, 4.4584]],
  "species": ["Re", "Re", "Mn", "Hg"],
  "frac_coords": [[0.0000, 0.0000, 0.9975], [0.5000, 0.5000, 0.2212], [0.5000, 0.5000, 0.7728], [0.0000, 0.0000, 0.5085]],
  "space_group": "P4mm (99)",
  "dft_energy_ev_per_cell": -227.66
}